A relaxed structure of Pm4GeCI2. Source: Alexandria, functional PBE-GGA.

Properties
- DFT total energy (eV/atom) = -5.33

abc: 7.1818 4.0781 8.0672
angles: 90.00 107.10 90.00
Closest atoms and distances in Å follow each position.
Space group P2/m (No. 10)
One atom of each set of equivalent atoms:
Pm1 0.2013 0.0000 0.1776 [2 per cell]  2 C 2.66, 1 Ge 2.91
Pm2 0.2379 0.5000 0.8137 [2 per cell]  1 C 2.59, 2 Ge 2.88
Ge1 0.5000 0.0000 0.0000 [1 per cell]  6 Pm 2.88-2.91
C1 0.0000 0.5000 0.0000 [1 per cell]  6 Pm 2.59-2.66
I1 0.0000 0.0000 0.5000 [1 per cell]  6 Pm 3.31-3.33
I2 0.5000 0.5000 0.5000 [1 per cell]  6 Pm 3.50-3.57



A relaxed structure of PmCdI. Source: Alexandria, functional PBE-GGA.

Properties
- DFT total energy (eV/atom) = -3.14

abc: 7.7944 4.5012 12.3887
angles: 90.00 90.86 90.00
Closest atoms and distances in Å follow each position.
Space group C2/m (No. 12)
One atom of each set of equivalent atoms:
Pm1 0.0047 0.0000 0.1866 [4 per cell]  3 Cd 3.21, 3 I 3.24
Cd1 0.1658 0.5000 0.9657 [4 per cell]  3 Cd 2.73
I1 0.1749 0.5000 0.3425 [4 per cell]  3 Pm 3.24



A relaxed structure of CaTcHg2. Source: Alexandria, functional PBE-GGA.

Properties
- formation enthalpy at 0 K (eV/atom) = 0.319

abc: 3.7358 3.7358 6.3502
angles: 90.00 90.00 90.00
Closest atoms and distances in Å follow each position.
Space group P4mm (No. 99)
One atom of each set of equivalent atoms:
Ca1 0.0000 0.0000 0.0000 [1 per cell]  5 Hg 2.89-3.13, 4 Tc 3.23
Tc1 0.5000 0.5000 0.7060 [1 per cell]  5 Hg 2.80-2.83
Hg1 0.0000 0.0000 0.5443 [1 per cell]  4 Tc 2.83, 1 Ca 2.89
Hg2 0.5000 0.5000 0.2649 [1 per cell]  1 Tc 2.80, 4 Ca 3.13



A relaxed structure of VAsRu. Source: Alexandria, functional PBE-GGA.

Properties
- formation enthalpy at 0 K (eV/atom) = -0.294

abc: 4.2042 3.0765 6.5999
angles: 90.00 99.34 90.00
Closest atoms and distances in Å follow each position.
Space group P2_1/m (No. 11)
One atom of each set of equivalent atoms:
V1 0.2486 0.2500 0.0006 [2 per cell]  2 As 2.54, 4 V 2.59-2.62, 2 Ru 2.63
As1 0.1779 0.7500 0.6895 [2 per cell]  5 Ru 2.54-2.65, 2 V 2.54
Ru1 0.3135 0.7500 0.3278 [2 per cell]  5 As 2.54-2.65, 2 V 2.63



A relaxed structure of CsSnSe4. Source: Alexandria, functional PBE-GGA.

Properties
- DFT total energy (eV/atom) = -3.51

abc: 8.5577 15.7999 6.8437
angles: 90.00 95.81 90.00
Closest atoms and distances in Å follow each position.
Space group C2/c (No. 15)
One atom of each set of equivalent atoms:
Cs1 0.0000 0.1175 0.2500 [4 per cell]  8 Se 3.75-3.93
Sn1 0.0000 0.4569 0.7500 [4 per cell]  4 Se 2.64-2.66
Se1 0.1007 0.2832 0.6484 [8 per cell]  1 Se 2.32
Se2 0.1914 0.4418 0.0763 [8 per cell]  2 Sn 2.64-2.66



A relaxed structure of TaVTcRu. Source: Alexandria, functional PBE-GGA.

Properties
- formation enthalpy at 0 K (eV/atom) = -0.335

abc: 6.2154 6.2154 6.2154
angles: 90.00 90.00 90.00
Closest atoms and distances in Å follow each position.
Space group F-43m (No. 216)
One atom of each set of equivalent atoms:
Ta1 0.0000 0.0000 0.0000 [4 per cell]  4 Tc 2.69, 4 Ru 2.69
V1 0.0000 0.0000 0.5000 [4 per cell]  4 Tc 2.69, 4 Ru 2.69
Tc1 0.2500 0.2500 0.2500 [4 per cell]  4 Ta 2.69, 4 V 2.69
Ru1 0.2500 0.2500 0.7500 [4 per cell]  4 Ta 2.69, 4 V 2.69



A relaxed structure of TbPm2Nd2Sm. Source: Alexandria, functional PBE-GGA.

Properties
- formation enthalpy at 0 K (eV/atom) = 0.246

abc: 6.7571 18.0157 3.4364
angles: 90.00 90.00 90.00
Closest atoms and distances in Å follow each position.
Space group Pnnm (No. 58)
One atom of each set of equivalent atoms:
Tb1 0.0000 0.0000 0.0000 [2 per cell]  2 Pm 3.24, 2 Tb 3.44
Pm1 0.2307 0.3515 0.5000 [4 per cell]  1 Tb 3.24, 4 Nd 3.40-3.52, 2 Pm 3.44, 2 Sm 3.54
Nd1 0.2356 0.1812 0.0000 [4 per cell]  4 Pm 3.40-3.52, 2 Nd 3.44, 1 Tb 3.63
Sm1 0.0000 0.5000 0.0000 [2 per cell]  2 Sm 3.44, 4 Pm 3.54, 4 Tb 3.79



A relaxed structure of PmPr2NdS4. Source: Alexandria, functional PBE-GGA.

Properties
- DFT total energy (eV/atom) = -6.47

abc: 7.0727 4.0450 7.1001
angles: 90.00 109.09 90.00
Closest atoms and distances in Å follow each position.
Space group P2/m (No. 10)
One atom of each set of equivalent atoms:
Pm1 0.0000 0.0000 0.0000 [1 per cell]  6 S 2.86
Pr1 0.0000 0.5000 0.5000 [1 per cell]  6 S 2.90
Pr2 0.5000 0.0000 0.5000 [1 per cell]  6 S 2.91
Nd1 0.5000 0.5000 0.0000 [1 per cell]  6 S 2.87
S1 0.2466 0.5000 0.2444 [2 per cell]  2 Pm 2.86, 1 Nd 2.87, 3 Pr 2.90-2.91
S2 0.2500 0.0000 0.7545 [2 per cell]  1 Pm 2.86, 2 Nd 2.87, 3 Pr 2.90-2.91



A relaxed structure of La2CuBRh. Source: Alexandria, functional PBE-GGA.

Properties
- formation enthalpy at 0 K (eV/atom) = 0.502

abc: 5.3495 5.3495 4.6658
angles: 90.00 90.00 90.00
Closest atoms and distances in Å follow each position.
Space group P4/mmm (No. 123)
One atom of each set of equivalent atoms:
La1 0.0000 0.5000 0.0000 [2 per cell]  2 Rh 2.67
Cu1 0.0000 0.0000 0.5000 [1 per cell]  2 Rh 2.33
B1 0.5000 0.5000 0.5000 [1 per cell]  8 La 3.55, 4 Cu 3.78
Rh1 0.0000 0.0000 0.0000 [1 per cell]  2 Cu 2.33



A relaxed structure of LiHoCdRh. Source: Alexandria, functional PBE-GGA.

Properties
- formation enthalpy at 0 K (eV/atom) = -0.443

abc: 6.7143 6.7143 6.7143
angles: 90.00 90.00 90.00
Closest atoms and distances in Å follow each position.
Space group F-43m (No. 216)
One atom of each set of equivalent atoms:
Li1 0.0000 0.0000 0.0000 [4 per cell]  4 Cd 2.91, 4 Ho 2.91
Ho1 0.2500 0.2500 0.2500 [4 per cell]  4 Li 2.91, 4 Rh 2.91
Cd1 0.2500 0.2500 0.7500 [4 per cell]  4 Li 2.91, 4 Rh 2.91
Rh1 0.0000 0.0000 0.5000 [4 per cell]  4 Cd 2.91, 4 Ho 2.91



A relaxed structure of Ac2La4Er7. Source: Alexandria, functional PBE-GGA.

Properties
- formation enthalpy at 0 K (eV/atom) = 0.188

abc: 6.2363 6.2363 13.6270
angles: 90.00 90.00 120.00
Closest atoms and distances in Å follow each position.
Space group P-31m (No. 162)
One atom of each set of equivalent atoms:
Ac1 0.3333 0.6667 0.0000 [2 per cell]  9 Er 3.56-3.60, 3 Ac 3.60
La1 0.0000 0.0000 0.3921 [2 per cell]  1 La 2.94, 3 Er 3.26
La2 0.3333 0.6667 0.5000 [2 per cell]  9 La 3.60-3.89
Er1 0.0000 0.0000 0.0000 [1 per cell]  6 Ac 3.60, 6 Er 3.65
Er2 0.0000 0.3514 0.7855 [6 per cell]  1 La 3.26, 5 Er 3.51-3.65, 2 Ac 3.56



A relaxed structure of Ac6Te3Pd2Se. Source: Alexandria, functional PBE-GGA.

Properties
- DFT total energy (eV/atom) = -5.31

abc: 7.8460 13.5976 8.3250
angles: 90.00 108.35 90.00
Closest atoms and distances in Å follow each position.
Space group C2/m (No. 12)
One atom of each set of equivalent atoms:
Ac1 0.2297 0.0000 0.2221 [4 per cell]  2 Pd 3.13, 1 Se 3.22, 3 Te 3.35-3.40
Ac2 0.2466 0.3279 0.2233 [8 per cell]  2 Pd 3.11-3.12, 1 Se 3.23, 3 Te 3.39-3.45
Te1 0.0000 0.0000 0.5000 [2 per cell]  6 Ac 3.35-3.44
Te2 0.0000 0.3389 0.5000 [4 per cell]  6 Ac 3.39-3.45
Pd1 0.0000 0.1677 0.0000 [4 per cell]  6 Ac 3.11-3.13
Se1 0.0000 0.5000 0.0000 [2 per cell]  6 Ac 3.22-3.23



| no. | mass density (g cm⁻³) | N(E_F) (states/eV/f.u.) |
| --- | --- | --- |
| 1 | 6.8 | 4.12 |
| 2 | 5.9 | 2.21 |
| 3 | 10.1 | 2.35 |
| 4 | 8.9 | 1.56 |
| 5 | 4.1 | 2.91 |
| 6 | 11.9 | 3.66 |
| 7 | 7.0 | 10.29 |
| 8 | 6.0 | 5.08 |
| 9 | 5.7 | 6.20 |
| 10 | 8.5 | 1.69 |
| 11 | 7.9 | 20.18 |
| 12 | 8.0 | 6.94 |